# TbTm6Cd2 PBE relaxed
data_TbTm6Cd2
_cell_length_a 12.4714
_cell_length_b 3.6802
_cell_length_c 11.7330
_cell_angle_alpha 90.00
_cell_angle_beta 108.59
_cell_angle_gamma 90.00
_symmetry_space_group_name_H-M 'C 1 2/m 1'
_symmetry_Int_Tables_number 12
loop_
_symmetry_equiv_pos_as_xyz
'x,y,z'
'-x,-y,-z'
'-x,y,-z'
'x,-y,z'
'x+1/2,y+1/2,z'
'-x+1/2,-y+1/2,-z'
'-x+1/2,y+1/2,-z'
'x+1/2,-y+1/2,z'
loop_
_atom_site_label
_atom_site_type_symbol
_atom_site_fract_x
_atom_site_fract_y
_atom_site_fract_z
Tb1 Tb 0.0000 0.0000 0.0000
Tm1 Tm 0.0138 0.0000 0.3408
Tm2 Tm 0.1842 0.5000 0.8763
Tm3 Tm 0.1868 0.5000 0.5820
Cd1 Cd 0.1481 0.5000 0.2125
# - spin magnetization (μB per formula unit) = 0.00
# - formation energy (eV/f.u.) = -1.1
# - calculated total energy (eV per atom) = -3.8209

# Cu3SeO PBE relaxed
data_Cu3SeO
_cell_length_a 4.4925
_cell_length_b 4.4925
_cell_length_c 4.4925
_cell_angle_alpha 90.00
_cell_angle_beta 90.00
_cell_angle_gamma 90.00
_symmetry_space_group_name_H-M 'P m -3 m'
_symmetry_Int_Tables_number 221
_symmetry_space_group_name_Hall '-P 4 2 3'
loop_
_atom_site_label
_atom_site_type_symbol
_atom_site_fract_x
_atom_site_fract_y
_atom_site_fract_z
Cu1 Cu 0.0000 0.0000 0.5000
Se1 Se 0.0000 0.0000 0.0000
O1 O 0.5000 0.5000 0.5000
# - spin magnetization (μB per formula unit) = 1.00
# - formation energy from raw total energies (kJ/mol of formula units) = 304
# - calculated total energy (eV per atom) = -3.5170

# PmY12Er6 PBE relaxed
data_PmY12Er6
_cell_length_a 15.0845
_cell_length_b 15.0845
_cell_length_c 10.0006
_cell_angle_alpha 90.00
_cell_angle_beta 90.00
_cell_angle_gamma 120.00
_symmetry_space_group_name_H-M 'R -3 m'
_symmetry_Int_Tables_number 166
_symmetry_space_group_name_Hall '-R 3 2"'
loop_
_atom_site_label
_atom_site_type_symbol
_atom_site_fract_x
_atom_site_fract_y
_atom_site_fract_z
Pm1 Pm 0.0000 0.0000 0.0000
Y1 Y 0.0000 0.3893 0.5000
Y2 Y 0.0726 0.1452 0.2960
Er1 Er 0.0511 0.5255 0.2111
# - spin magnetization (μB per formula unit) = 0.00
# - formation energy (eV/f.u.) = 8.4
# - calculated total energy (eV per atom) = -5.3307

# Ac2Pm3ErTe6 PBE relaxed
data_Ac2Pm3ErTe6
_cell_length_a 19.7015
_cell_length_b 4.4881
_cell_length_c 9.1660
_cell_angle_alpha 90.00
_cell_angle_beta 102.51
_cell_angle_gamma 90.00
_symmetry_space_group_name_H-M 'C 1 2/m 1'
_symmetry_Int_Tables_number 12
loop_
_symmetry_equiv_pos_as_xyz
'x,y,z'
'-x,-y,-z'
'-x,y,-z'
'x,-y,z'
'x+1/2,y+1/2,z'
'-x+1/2,-y+1/2,-z'
'-x+1/2,y+1/2,-z'
'x+1/2,-y+1/2,z'
loop_
_atom_site_label
_atom_site_type_symbol
_atom_site_fract_x
_atom_site_fract_y
_atom_site_fract_z
Ac1 Ac 0.1662 0.0000 0.3337
Pm1 Pm 0.0000 0.5000 0.5000
Pm2 Pm 0.1748 0.0000 0.8379
Er1 Er 0.0000 0.5000 0.0000
Te1 Te 0.0071 0.0000 0.7630
Te2 Te 0.1594 0.5000 0.0684
Te3 Te 0.1625 0.5000 0.5942
# - spin magnetization (μB per formula unit) = 0.00
# - formation energy from raw total energies (kJ/mol of formula units) = -1605
# - calculated total energy (eV per atom) = -5.2096

# RbLa2V2 PBE relaxed
data_RbLa2V2
_cell_length_a 3.6256
_cell_length_b 3.6256
_cell_length_c 25.2383
_cell_angle_alpha 90.00
_cell_angle_beta 90.00
_cell_angle_gamma 90.00
_symmetry_space_group_name_H-M 'I 4/m m m'
_symmetry_Int_Tables_number 139
_symmetry_space_group_name_Hall '-I 4 2'
loop_
_atom_site_label
_atom_site_type_symbol
_atom_site_fract_x
_atom_site_fract_y
_atom_site_fract_z
Rb1 Rb 0.0000 0.0000 0.0000
La1 La 0.0000 0.0000 0.3484
V1 V 0.0000 0.5000 0.2500
# - spin magnetization (μB per formula unit) = 0.00
# - formation energy (eV/f.u.) = 2.9
# - calculated total energy (eV per atom) = -5.2388

# PmPaGa PBE relaxed
data_PmPaGa
_cell_length_a 5.2565
_cell_length_b 6.2269
_cell_length_c 8.8975
_cell_angle_alpha 90.00
_cell_angle_beta 90.00
_cell_angle_gamma 90.00
_symmetry_space_group_name_H-M 'I m m m'
_symmetry_Int_Tables_number 71
_symmetry_space_group_name_Hall '-I 2 2'
loop_
_atom_site_label
_atom_site_type_symbol
_atom_site_fract_x
_atom_site_fract_y
_atom_site_fract_z
Pm1 Pm 0.0000 0.0000 0.1714
Pa1 Pa 0.0000 0.5000 0.1458
Ga1 Ga 0.0000 0.2545 0.5000
# - spin magnetization (μB per formula unit) = 0.00
# - formation energy (eV/f.u.) = 0.4
# - calculated total energy (eV per atom) = -5.6332

# HfAl2Pd PBE relaxed
data_HfAl2Pd
_cell_length_a 4.0742
_cell_length_b 4.0742
_cell_length_c 4.0475
_cell_angle_alpha 90.00
_cell_angle_beta 90.00
_cell_angle_gamma 90.00
_symmetry_space_group_name_H-M 'P 4/m m m'
_symmetry_Int_Tables_number 123
_symmetry_space_group_name_Hall '-P 4 2'
loop_
_atom_site_label
_atom_site_type_symbol
_atom_site_fract_x
_atom_site_fract_y
_atom_site_fract_z
Hf1 Hf 0.0000 0.0000 0.0000
Al1 Al 0.0000 0.5000 0.5000
Pd1 Pd 0.5000 0.5000 0.0000
# - spin magnetization (μB per formula unit) = 0.00
# - formation energy (eV/f.u.) = -2.4
# - calculated total energy (eV per atom) = -6.2547

# YTlO PBE relaxed
data_YTlO
_cell_length_a 3.7910
_cell_length_b 3.7910
_cell_length_c 30.9630
_cell_angle_alpha 90.00
_cell_angle_beta 90.00
_cell_angle_gamma 120.00
_symmetry_space_group_name_H-M 'R -3 m'
_symmetry_Int_Tables_number 166
_symmetry_space_group_name_Hall '-R 3 2"'
loop_
_atom_site_label
_atom_site_type_symbol
_atom_site_fract_x
_atom_site_fract_y
_atom_site_fract_z
Y1 Y 0.0000 0.0000 0.2134
Tl1 Tl 0.0000 0.0000 0.3694
O1 O 0.0000 0.0000 0.1380
# - spin magnetization (μB per formula unit) = 0.00
# - formation energy from raw total energies (kJ/mol of formula units) = -583
# - calculated total energy (eV per atom) = -6.6099

# PuPaTiGa PBE relaxed
data_PuPaTiGa
_cell_length_a 6.8389
_cell_length_b 6.8389
_cell_length_c 6.8389
_cell_angle_alpha 90.00
_cell_angle_beta 90.00
_cell_angle_gamma 90.00
_symmetry_space_group_name_H-M 'F -4 3 m'
_symmetry_Int_Tables_number 216
_symmetry_space_group_name_Hall 'F -4 2 3'
loop_
_atom_site_label
_atom_site_type_symbol
_atom_site_fract_x
_atom_site_fract_y
_atom_site_fract_z
Pu1 Pu 0.0000 0.0000 0.0000
Pa1 Pa 0.2500 0.2500 0.7500
Ti1 Ti 0.0000 0.0000 0.5000
Ga1 Ga 0.2500 0.2500 0.2500
# - spin magnetization (μB per formula unit) = 5.15
# - formation energy (eV/f.u.) = -0.3
# - calculated total energy (eV per atom) = -8.7507

# TlMo2Rh PBE relaxed
data_TlMo2Rh
_cell_length_a 9.8127
_cell_length_b 3.0601
_cell_length_c 4.6520
_cell_angle_alpha 90.00
_cell_angle_beta 102.50
_cell_angle_gamma 90.00
_symmetry_space_group_name_H-M 'C 1 2/m 1'
_symmetry_Int_Tables_number 12
loop_
_symmetry_equiv_pos_as_xyz
'x,y,z'
'-x,-y,-z'
'-x,y,-z'
'x,-y,z'
'x+1/2,y+1/2,z'
'-x+1/2,-y+1/2,-z'
'-x+1/2,y+1/2,-z'
'x+1/2,-y+1/2,z'
loop_
_atom_site_label
_atom_site_type_symbol
_atom_site_fract_x
_atom_site_fract_y
_atom_site_fract_z
Tl1 Tl 0.0000 0.0000 0.0000
Mo1 Mo 0.2419 0.0000 0.7167
Rh1 Rh 0.0000 0.5000 0.5000
# - spin magnetization (μB per formula unit) = 0.00
# - formation energy (eV/f.u.) = 1.4
# - calculated total energy (eV per atom) = -7.5037

# HoPaAs PBE relaxed
data_HoPaAs
_cell_length_a 4.8978
_cell_length_b 4.8978
_cell_length_c 3.6073
_cell_angle_alpha 90.00
_cell_angle_beta 90.00
_cell_angle_gamma 120.00
_symmetry_space_group_name_H-M 'P 3 m 1'
_symmetry_Int_Tables_number 156
loop_
_symmetry_equiv_pos_as_xyz
'x,y,z'
'-y,x-y,z'
'-x+y,-x,z'
'-y,-x,z'
'-x+y,y,z'
'x,x-y,z'
loop_
_atom_site_label
_atom_site_type_symbol
_atom_site_fract_x
_atom_site_fract_y
_atom_site_fract_z
Ho1 Ho 0.0000 0.0000 0.0000
Pa1 Pa 0.3333 0.6667 0.4899
As1 As 0.6667 0.3333 0.1764
# - spin magnetization (μB per formula unit) = 0.30
# - formation energy (eV/f.u.) = -0.5
# - calculated total energy (eV per atom) = -6.4016

# Zr2ZnPt PBE relaxed
data_Zr2ZnPt
_cell_length_a 3.4222
_cell_length_b 3.4222
_cell_length_c 6.4116
_cell_angle_alpha 90.00
_cell_angle_beta 90.00
_cell_angle_gamma 90.00
_symmetry_space_group_name_H-M 'P 4/m m m'
_symmetry_Int_Tables_number 123
_symmetry_space_group_name_Hall '-P 4 2'
loop_
_atom_site_label
_atom_site_type_symbol
_atom_site_fract_x
_atom_site_fract_y
_atom_site_fract_z
Zr1 Zr 0.0000 0.0000 0.2490
Zn1 Zn 0.5000 0.5000 0.5000
Pt1 Pt 0.5000 0.5000 0.0000
# - spin magnetization (μB per formula unit) = 0.00
# - formation energy (eV/f.u.) = -2.4
# - calculated total energy (eV per atom) = -6.7128